[1]
# LiCr2Pb

A relaxed LiCr2Pb crystal (PBEsol, the Alexandria database).

Unit cell a=2.999 b=4.078 c=5.096 alpha=90.00 beta=90.00 gamma=90.00
Sites, in units of the cell vectors:
Cr: 0.000 0.000 0.182
Li: 0.500 0.500 0.000
Cr: 0.000 0.000 0.818
Pb: 0.500 0.500 0.500

Summary:
DFT formation energy in eV/atom: 0.701
Space group: Pmmm (47)

---

[2]
# K2CaSc

A relaxed K2CaSc crystal (PBEsol, the Alexandria database).

Unit cell a=6.253 b=6.282 c=6.253 alpha=119.85 beta=90.00 gamma=119.85
Each line ends with the local moment (μB).
Sites, in units of the cell vectors:
K: 0.750 0.500 0.250  0.01
K: 0.000 0.000 0.000  0.01
Ca: 0.250 0.500 0.750  0.04
Sc: 0.500 0.000 0.500  0.55

Summary:
DFT formation energy in eV/atom: 0.590
Space group: I-4m2 (119)

---

[3]
# BeZnRh2

A relaxed BeZnRh2 crystal (PBEsol, the Alexandria database).

Unit cell a=3.543 b=3.543 c=4.650 alpha=112.39 beta=112.39 gamma=90.00
Sites, in units of the cell vectors:
Rh: 0.750 0.250 0.500
Rh: 0.000 0.000 0.000
Be: 0.250 0.750 0.500
Zn: 0.500 0.500 0.000

Summary:
DFT formation energy in eV/atom: -0.174
Space group: I-4m2 (119)

---

[4]
# LiTl2Ag

A relaxed LiTl2Ag crystal (PBEsol, the Alexandria database).

Unit cell a=4.319 b=4.319 c=5.477 alpha=113.22 beta=113.22 gamma=90.00
Sites, in units of the cell vectors:
Ag: 0.500 0.500 0.000
Tl: 0.000 0.000 0.000
Li: 0.250 0.750 0.500
Tl: 0.750 0.250 0.500

Summary:
DFT formation energy in eV/atom: -0.059
Space group: I-4m2 (119)

---

[5]
# TcIr3N

A relaxed TcIr3N crystal (PBEsol, the Alexandria database).

Unit cell a=4.634 b=4.634 c=4.634 alpha=90.00 beta=90.00 gamma=90.00
Each line ends with the local moment (μB).
Sites, in units of the cell vectors:
Ir: 0.000 0.500 0.000  0.28
N: 0.500 0.500 0.500  1.60
Ir: 0.000 0.000 0.500  0.28
Tc: 0.000 0.000 0.000  0.04
Ir: 0.500 0.000 0.000  0.28

Summary:
Space group: Pm-3m (221)
Raw formation energy in kJ per mole of atoms: 291

---

[6]
# Mg2TlPb

A relaxed Mg2TlPb crystal (PBEsol, the Alexandria database).

Unit cell a=3.641 b=3.641 c=7.378 alpha=90.00 beta=90.00 gamma=89.97
Sites, in units of the cell vectors:
Tl: 0.500 0.500 0.000
Mg: 0.000 0.000 0.240
Mg: 0.000 0.000 0.760
Pb: 0.500 0.500 0.500

Summary:
DFT formation energy in eV/atom: -0.085
Space group: P4/mmm (123)

---

[7]
# Fe2SbRu

A relaxed Fe2SbRu crystal (PBEsol, the Alexandria database).

Unit cell a=3.477 b=3.974 c=4.017 alpha=90.00 beta=90.00 gamma=90.00
Each line ends with the local moment (μB).
Sites, in units of the cell vectors:
Sb: 0.000 0.500 0.500  -0.06
Fe: 0.000 0.000 0.000  2.72
Ru: 0.500 0.000 0.500  0.30
Fe: 0.500 0.500 0.000  2.09

Summary:
Space group: Pmmm (47)
Raw formation energy in kJ per mole of atoms: 16

---

[8]
# CoTeBr

A relaxed CoTeBr crystal (PBEsol, the Alexandria database).

Unit cell a=3.573 b=3.496 c=6.873 alpha=82.37 beta=74.94 gamma=59.27
Each line ends with the local moment (μB).
Sites, in units of the cell vectors:
Br: 0.045 0.000 0.910  0.01
Co: 0.665 0.000 0.670  1.08
Te: 0.290 0.000 0.421  -0.03

Summary:
Space group: Fmm2 (42)
Raw formation energy in kJ per mole of atoms: 11

---

For the records above, the corresponding ρ values read 8477 1553 9460 10250 11495 7812 10009 6210 kg/m³.